No. 1
# Zn2InTeO6 PBE relaxed
data_Zn2InTeO6
_space_group_name_H-M_alt 'C 1 2/c 1'
_space_group_IT_number 15
_space_group_name_Hall '-C 2yc'
_cell_length_a 9.962
_cell_length_b 9.522
_cell_length_c 5.626
_cell_angle_alpha 90.00
_cell_angle_beta 98.46
_cell_angle_gamma 90.00
loop_
_atom_site_label
_atom_site_fract_x
_atom_site_fract_y
_atom_site_fract_z
_atom_site_occupancy
Zn1 0.184 0.093 0.306 1
In1 0.000 0.410 0.250 1
Te1 0.000 0.223 0.750 1
O1 0.106 0.244 0.089 1
O2 0.112 0.406 0.623 1
O3 0.129 0.087 0.637 1
# Raw formation energy, meV per atom: -1263.0
# Crystal system: monoclinic
# Fermi-level density of states, states/eV/f.u.: 3.18
# V, Å³ per atom: 13.197

=====

No. 2
# In2BS PBE relaxed
data_In2BS
_space_group_name_H-M_alt 'F m -3 m'
_space_group_IT_number 225
_space_group_name_Hall '-F 4 2 3'
_cell_length_a 6.746
_cell_length_b 6.746
_cell_length_c 6.746
_cell_angle_alpha 90.00
_cell_angle_beta 90.00
_cell_angle_gamma 90.00
loop_
_atom_site_label
_atom_site_fract_x
_atom_site_fract_y
_atom_site_fract_z
_atom_site_occupancy
In1 0.250 0.250 0.250 1
B1 0.000 0.000 0.000 1
S1 0.000 0.000 0.500 1
# Raw formation energy, meV per atom: 875.4
# ΔE to the lowest computed polymorph, eV/f.u.: 2.67
# Crystal system: cubic
# Fermi-level density of states, states/eV/f.u.: 3.04
# V, Å³ per atom: 19.189